Here is crystalline Li4Cd3In at its relaxed geometry from the Alexandria database. Energies are from GGA-PBE.

Space group = C2/m (12)
ΔE_f = -264 meV/atom

The structure in POSCAR format:
```
Li4Cd3In
1.0
-4.048 2.344 0.774
-2.024 -4.004 1.538
5.010 2.211 4.985
Li Cd In
4 3 1
Cartesian
0.494 0.345 1.540
-2.541 -0.483 2.695
-1.556 0.206 5.758
1.479 1.034 4.602
-1.012 -2.002 0.769
-0.019 -1.309 3.861
-1.043 1.860 3.437
-2.024 1.172 0.387
```



Here is crystalline PrErTe2I at its relaxed geometry from the Alexandria database. Energies are from GGA-PBE.

Space group = P4/nmm (129)
Formation energy without anion corrections = -5.7 eV/f.u.

The structure in POSCAR format:
```
PrErTe2I
1.0
-1.474 3.958 1.888
-0.966 -2.236 3.933
13.939 2.799 5.014
I Te Er Pr
2 4 2 2
Cartesian
6.969 1.400 2.507
5.750 2.261 5.417
3.283 2.786 2.390
11.605 4.457 5.383
1.115 -0.797 2.541
9.436 0.874 5.534
0.471 2.222 1.378
12.248 1.439 6.546
4.313 -0.155 3.692
8.406 3.815 4.233
```



Here is crystalline CrNi at its relaxed geometry from the Alexandria database. Energies are from GGA-PBE.

Space group = R-3m (166)
ΔE_f = 135 meV/atom

The structure in POSCAR format:
```
CrNi
1.0
2.495 0.000 0.000
-1.248 8.386 -0.001
1.248 -0.185 2.153
Ni Cr
2 2
Cartesian
2.495 1.959 1.615
1.248 4.098 1.076
0.000 0.059 0.005
0.000 6.184 0.532
```



Here is crystalline CoSbRu2 at its relaxed geometry from the Alexandria database. Energies are from GGA-PBE.

Space group = R-3m (166)
Formation energy without anion corrections = 1.9 eV/f.u.

The structure in POSCAR format:
```
CoSbRu2
1.0
-4.753 5.626 3.664
-6.818 4.063 2.162
-5.877 3.113 4.841
Co Sb Ru
1 1 2
Cartesian
-13.086 9.601 8.000
-4.362 3.200 2.667
-8.661 6.354 5.295
-0.064 0.047 0.039
```



Values of density, in order: 5.37; 7.11; 8.16; 10.19, all in g cm⁻³.